Material: InWAuO2
Method: DFT, PBE with a Hubbard U
State: relaxed

## Properties
Size of the total moment, μB per formula unit: 3.8
Density of states at the Fermi level, states/eV/cell: 2.4
E, eV/cell: -18.804

abc: 4.176 4.176 5.434
angles: 90.00 90.00 90.00
Fractional coordinates of all 5 atoms:
In: 0.000 0.000 0.000
W: 0.500 0.500 0.000
Au: 0.000 0.000 0.500
O: 0.000 0.500 0.500
O: 0.500 0.000 0.500